(1)
VASP calculation (GGA-PBEsol) on an optimized crystal structure of CuReAsSe2.

Values from the calculation:
uncorrected formation energy	0.890	eV per atom
E	-5.204	eV per atom

CIF file:
```
data_CuReAsSe2
_symmetry_space_group_name_H-M 'P 1'
_symmetry_Int_Tables_number 1
_cell_length_a 4.767
_cell_length_b 4.821
_cell_length_c 4.821
_cell_angle_alpha 90.00
_cell_angle_beta 90.00
_cell_angle_gamma 90.00
loop_
_symmetry_equiv_pos_as_xyz
'x,y,z'
loop_
_atom_site_label
_atom_site_type_symbol
_atom_site_fract_x
_atom_site_fract_y
_atom_site_fract_z
Se1 Se 0.000 0.000 0.500
Se2 Se 0.000 0.500 0.000
Cu1 Cu 0.500 0.500 0.500
Re1 Re 0.000 0.000 0.000
As1 As 0.500 0.000 0.000
```

***

(2)
VASP calculation (GGA-PBEsol) on an optimized crystal structure of CoBSb2I.

Values from the calculation:
uncorrected formation energy	1.192	eV per atom
E	-3.935	eV per atom

CIF file:
```
data_CoBSb2I
_symmetry_space_group_name_H-M 'P 1'
_symmetry_Int_Tables_number 1
_cell_length_a 4.739
_cell_length_b 4.739
_cell_length_c 5.399
_cell_angle_alpha 90.00
_cell_angle_beta 90.00
_cell_angle_gamma 90.00
loop_
_symmetry_equiv_pos_as_xyz
'x,y,z'
loop_
_atom_site_label
_atom_site_type_symbol
_atom_site_fract_x
_atom_site_fract_y
_atom_site_fract_z
B1 B 0.500 0.500 0.500
Sb1 Sb 0.000 0.500 0.000
I1 I 0.000 0.000 0.500
Sb2 Sb 0.500 0.000 0.000
Co1 Co 0.000 0.000 0.000
```

***

(3)
VASP calculation (GGA-PBEsol) on an optimized crystal structure of RbMg2In2.

Values from the calculation:
DFT formation energy	-0.18	eV per formula unit
E	-2.121	eV per atom
offset from the most stable computed form	14	meV per atom

CIF file:
```
data_RbMg2In2
_symmetry_space_group_name_H-M 'P 1'
_symmetry_Int_Tables_number 1
_cell_length_a 5.030
_cell_length_b 5.030
_cell_length_c 7.002
_cell_angle_alpha 111.05
_cell_angle_beta 111.05
_cell_angle_gamma 90.00
loop_
_symmetry_equiv_pos_as_xyz
'x,y,z'
loop_
_atom_site_label
_atom_site_type_symbol
_atom_site_fract_x
_atom_site_fract_y
_atom_site_fract_z
In1 In 0.619 0.619 0.237
Mg1 Mg 0.750 0.250 0.500
In2 In 0.381 0.381 0.763
Rb1 Rb 0.000 0.000 0.000
Mg2 Mg 0.250 0.750 0.500
```

***

(4)
VASP calculation (GGA-PBEsol) on an optimized crystal structure of In2RePt.

Values from the calculation:
DFT formation energy	0.89	eV per formula unit
E	-6.343	eV per atom
offset from the most stable computed form	93	meV per atom

CIF file:
```
data_In2RePt
_symmetry_space_group_name_H-M 'P 1'
_symmetry_Int_Tables_number 1
_cell_length_a 2.986
_cell_length_b 2.986
_cell_length_c 9.085
_cell_angle_alpha 80.54
_cell_angle_beta 80.54
_cell_angle_gamma 60.00
loop_
_symmetry_equiv_pos_as_xyz
'x,y,z'
loop_
_atom_site_label
_atom_site_type_symbol
_atom_site_fract_x
_atom_site_fract_y
_atom_site_fract_z
In1 In 0.249 0.249 0.252
Pt1 Pt 0.500 0.500 0.500
Re1 Re 0.000 0.000 0.000
In2 In 0.751 0.751 0.748
```

***

(5)
VASP calculation (GGA-PBEsol) on an optimized crystal structure of MgCu2RhO.

Values from the calculation:
uncorrected formation energy	1.659	eV per atom
E	-3.096	eV per atom

CIF file:
```
data_MgCu2RhO
_symmetry_space_group_name_H-M 'P 1'
_symmetry_Int_Tables_number 1
_cell_length_a 4.380
_cell_length_b 4.380
_cell_length_c 4.485
_cell_angle_alpha 90.00
_cell_angle_beta 90.00
_cell_angle_gamma 90.00
loop_
_symmetry_equiv_pos_as_xyz
'x,y,z'
loop_
_atom_site_label
_atom_site_type_symbol
_atom_site_fract_x
_atom_site_fract_y
_atom_site_fract_z
Cu1 Cu 0.500 0.000 0.000
Mg1 Mg 0.000 0.000 0.000
Rh1 Rh 0.000 0.000 0.500
Cu2 Cu 0.000 0.500 0.000
O1 O 0.500 0.500 0.500
```

***

(6)
VASP calculation (GGA-PBEsol) on an optimized crystal structure of Ta2AgMo.

Values from the calculation:
DFT formation energy	1.53	eV per formula unit
E	-9.662	eV per atom
offset from the most stable computed form	144	meV per atom

CIF file:
```
data_Ta2AgMo
_symmetry_space_group_name_H-M 'P 1'
_symmetry_Int_Tables_number 1
_cell_length_a 4.557
_cell_length_b 4.557
_cell_length_c 4.557
_cell_angle_alpha 60.00
_cell_angle_beta 60.00
_cell_angle_gamma 60.00
loop_
_symmetry_equiv_pos_as_xyz
'x,y,z'
loop_
_atom_site_label
_atom_site_type_symbol
_atom_site_fract_x
_atom_site_fract_y
_atom_site_fract_z
Mo1 Mo 0.250 0.250 0.250
Ag1 Ag 0.500 0.500 0.500
Ta1 Ta 0.000 0.000 0.000
Ta2 Ta 0.750 0.750 0.750
```

***

(7)
VASP calculation (GGA-PBEsol) on an optimized crystal structure of La2AlHg.

Values from the calculation:
DFT formation energy	-1.67	eV per formula unit
E	-4.256	eV per atom
offset from the most stable computed form	21	meV per atom

CIF file:
```
data_La2AlHg
_symmetry_space_group_name_H-M 'P 1'
_symmetry_Int_Tables_number 1
_cell_length_a 3.784
_cell_length_b 5.230
_cell_length_c 6.230
_cell_angle_alpha 114.82
_cell_angle_beta 107.68
_cell_angle_gamma 90.00
loop_
_symmetry_equiv_pos_as_xyz
'x,y,z'
loop_
_atom_site_label
_atom_site_type_symbol
_atom_site_fract_x
_atom_site_fract_y
_atom_site_fract_z
Al1 Al 0.534 0.534 0.068
Hg1 Hg 0.219 0.719 0.437
La1 La 0.763 0.263 0.527
La2 La 0.984 0.984 0.968
```

***

(8)
VASP calculation (GGA-PBEsol) on an optimized crystal structure of Y2MgP.

Values from the calculation:
DFT formation energy	-3.18	eV per formula unit
E	-6.082	eV per atom
offset from the most stable computed form	0	meV per atom

CIF file:
```
data_Y2MgP
_symmetry_space_group_name_H-M 'P 1'
_symmetry_Int_Tables_number 1
_cell_length_a 3.814
_cell_length_b 3.814
_cell_length_c 8.635
_cell_angle_alpha 77.24
_cell_angle_beta 77.24
_cell_angle_gamma 60.00
loop_
_symmetry_equiv_pos_as_xyz
'x,y,z'
loop_
_atom_site_label
_atom_site_type_symbol
_atom_site_fract_x
_atom_site_fract_y
_atom_site_fract_z
Y1 Y 0.270 0.270 0.190
Mg1 Mg 0.500 0.500 0.500
Y2 Y 0.730 0.730 0.810
P1 P 0.000 0.000 0.000
```

***

(9)
VASP calculation (GGA-PBEsol) on an optimized crystal structure of Co2HgPb.

Values from the calculation:
DFT formation energy	1.73	eV per formula unit
E	-4.578	eV per atom
offset from the most stable computed form	0	meV per atom

CIF file:
```
data_Co2HgPb
_symmetry_space_group_name_H-M 'P 1'
_symmetry_Int_Tables_number 1
_cell_length_a 3.544
_cell_length_b 3.958
_cell_length_c 5.125
_cell_angle_alpha 90.00
_cell_angle_beta 110.23
_cell_angle_gamma 90.00
loop_
_symmetry_equiv_pos_as_xyz
'x,y,z'
loop_
_atom_site_label
_atom_site_type_symbol
_atom_site_fract_x
_atom_site_fract_y
_atom_site_fract_z
Hg1 Hg 0.472 0.000 0.944
Co1 Co 0.183 0.000 0.365
Pb1 Pb 0.776 0.500 0.552
Co2 Co 0.058 0.500 0.116
```

***

(10)
VASP calculation (GGA-PBEsol) on an optimized crystal structure of TlCrCo2.

Values from the calculation:
DFT formation energy	2.13	eV per formula unit
E	-6.554	eV per atom
offset from the most stable computed form	15	meV per atom

CIF file:
```
data_TlCrCo2
_symmetry_space_group_name_H-M 'P 1'
_symmetry_Int_Tables_number 1
_cell_length_a 2.848
_cell_length_b 4.464
_cell_length_c 4.564
_cell_angle_alpha 102.13
_cell_angle_beta 90.00
_cell_angle_gamma 108.60
loop_
_symmetry_equiv_pos_as_xyz
'x,y,z'
loop_
_atom_site_label
_atom_site_type_symbol
_atom_site_fract_x
_atom_site_fract_y
_atom_site_fract_z
Co1 Co 0.246 0.491 0.724
Co2 Co 0.990 0.980 0.961
Tl1 Tl 0.750 0.500 0.232
Cr1 Cr 0.515 0.029 0.583
```

***

(11)
VASP calculation (GGA-PBEsol) on an optimized crystal structure of VAs.

Values from the calculation:
DFT formation energy	-1.11	eV per formula unit
E	-7.928	eV per atom

CIF file:
```
data_VAs
_symmetry_space_group_name_H-M 'P 1'
_symmetry_Int_Tables_number 1
_cell_length_a 3.275
_cell_length_b 5.789
_cell_length_c 6.217
_cell_angle_alpha 90.00
_cell_angle_beta 90.00
_cell_angle_gamma 90.00
loop_
_symmetry_equiv_pos_as_xyz
'x,y,z'
loop_
_atom_site_label
_atom_site_type_symbol
_atom_site_fract_x
_atom_site_fract_y
_atom_site_fract_z
V1 V 0.750 0.995 0.817
As1 As 0.250 0.191 0.572
V2 V 0.250 0.005 0.183
V3 V 0.750 0.495 0.683
As2 As 0.750 0.809 0.428
V4 V 0.250 0.505 0.317
As3 As 0.250 0.691 0.928
As4 As 0.750 0.309 0.072
```

***

(12)
VASP calculation (GGA-PBEsol) on an optimized crystal structure of Sb3Mo.

Values from the calculation:
uncorrected formation energy	0.550	eV per atom
E	-5.810	eV per atom
offset from the most stable computed form	33	meV per atom

CIF file:
```
data_Sb3Mo
_symmetry_space_group_name_H-M 'P 1'
_symmetry_Int_Tables_number 1
_cell_length_a 4.997
_cell_length_b 4.997
_cell_length_c 4.922
_cell_angle_alpha 120.51
_cell_angle_beta 120.51
_cell_angle_gamma 90.00
loop_
_symmetry_equiv_pos_as_xyz
'x,y,z'
loop_
_atom_site_label
_atom_site_type_symbol
_atom_site_fract_x
_atom_site_fract_y
_atom_site_fract_z
Sb1 Sb 0.500 0.500 0.000
Sb2 Sb 0.750 0.250 0.500
Mo1 Mo 0.000 0.000 0.000
Sb3 Sb 0.250 0.750 0.500
```

***

(13)
VASP calculation (GGA-PBEsol) on an optimized crystal structure of FeTc2Ir.

Values from the calculation:
DFT formation energy	0.16	eV per formula unit
E	-10.291	eV per atom
offset from the most stable computed form	103	meV per atom

CIF file:
```
data_FeTc2Ir
_symmetry_space_group_name_H-M 'P 1'
_symmetry_Int_Tables_number 1
_cell_length_a 2.682
_cell_length_b 2.682
_cell_length_c 8.746
_cell_angle_alpha 81.18
_cell_angle_beta 81.18
_cell_angle_gamma 60.00
loop_
_symmetry_equiv_pos_as_xyz
'x,y,z'
loop_
_atom_site_label
_atom_site_type_symbol
_atom_site_fract_x
_atom_site_fract_y
_atom_site_fract_z
Tc1 Tc 0.001 0.001 0.996
Ir1 Ir 0.247 0.247 0.258
Tc2 Tc 0.751 0.751 0.747
Fe1 Fe 0.500 0.500 0.499
```

***

(14)
VASP calculation (GGA-PBEsol) on an optimized crystal structure of LiAl2.

Values from the calculation:
DFT formation energy	-0.11	eV per formula unit
E	-3.419	eV per atom
offset from the most stable computed form	59	meV per atom

CIF file:
```
data_LiAl2
_symmetry_space_group_name_H-M 'P 1'
_symmetry_Int_Tables_number 1
_cell_length_a 5.458
_cell_length_b 5.458
_cell_length_c 8.412
_cell_angle_alpha 90.00
_cell_angle_beta 90.00
_cell_angle_gamma 120.00
loop_
_symmetry_equiv_pos_as_xyz
'x,y,z'
loop_
_atom_site_label
_atom_site_type_symbol
_atom_site_fract_x
_atom_site_fract_y
_atom_site_fract_z
Li1 Li 0.333 0.667 0.430
Al1 Al 0.345 0.173 0.250
Al2 Al 0.000 0.000 0.500
Al3 Al 0.173 0.345 0.750
Li2 Li 0.667 0.333 0.570
Al4 Al 0.827 0.655 0.250
Li3 Li 0.667 0.333 0.930
Li4 Li 0.333 0.667 0.070
Al5 Al 0.173 0.827 0.750
Al6 Al 0.827 0.173 0.250
Al7 Al 0.000 0.000 0.000
Al8 Al 0.655 0.827 0.750
```

***

(15)
VASP calculation (GGA-PBEsol) on an optimized crystal structure of TlCuPt2.

Values from the calculation:
DFT formation energy	0.12	eV per formula unit
E	-5.193	eV per atom

CIF file:
```
data_TlCuPt2
_symmetry_space_group_name_H-M 'P 1'
_symmetry_Int_Tables_number 1
_cell_length_a 2.947
_cell_length_b 4.732
_cell_length_c 4.732
_cell_angle_alpha 106.13
_cell_angle_beta 90.00
_cell_angle_gamma 90.00
loop_
_symmetry_equiv_pos_as_xyz
'x,y,z'
loop_
_atom_site_label
_atom_site_type_symbol
_atom_site_fract_x
_atom_site_fract_y
_atom_site_fract_z
Cu1 Cu 0.500 0.000 0.000
Pt1 Pt 0.000 0.500 0.000
Pt2 Pt 0.000 0.000 0.500
Tl1 Tl 0.500 0.500 0.500
```

***

(16)
VASP calculation (GGA-PBEsol) on an optimized crystal structure of SrSnOs3.

Values from the calculation:
DFT formation energy	17.25	eV per formula unit
E	-5.100	eV per atom

CIF file:
```
data_SrSnOs3
_symmetry_space_group_name_H-M 'P 1'
_symmetry_Int_Tables_number 1
_cell_length_a 4.812
_cell_length_b 4.812
_cell_length_c 4.812
_cell_angle_alpha 90.00
_cell_angle_beta 90.00
_cell_angle_gamma 90.00
loop_
_symmetry_equiv_pos_as_xyz
'x,y,z'
loop_
_atom_site_label
_atom_site_type_symbol
_atom_site_fract_x
_atom_site_fract_y
_atom_site_fract_z
Sn1 Sn 0.500 0.500 0.500
Os1 Os 0.500 0.000 0.000
Os2 Os 0.000 0.000 0.500
Os3 Os 0.000 0.500 0.000
Sr1 Sr 0.000 0.000 0.000
```

***

(17)
VASP calculation (GGA-PBEsol) on an optimized crystal structure of RuWOF2.

Values from the calculation:
uncorrected formation energy	-0.263	eV per atom
E	-6.880	eV per atom

CIF file:
```
data_RuWOF2
_symmetry_space_group_name_H-M 'P 1'
_symmetry_Int_Tables_number 1
_cell_length_a 3.822
_cell_length_b 4.128
_cell_length_c 4.128
_cell_angle_alpha 90.00
_cell_angle_beta 90.00
_cell_angle_gamma 90.00
loop_
_symmetry_equiv_pos_as_xyz
'x,y,z'
loop_
_atom_site_label
_atom_site_type_symbol
_atom_site_fract_x
_atom_site_fract_y
_atom_site_fract_z
F1 F 0.000 0.500 0.000
W1 W 0.000 0.000 0.000
O1 O 0.500 0.000 0.000
F2 F 0.000 0.000 0.500
Ru1 Ru 0.500 0.500 0.500
```

***

(18)
VASP calculation (GGA-PBEsol) on an optimized crystal structure of AlCrP2Pb.

Values from the calculation:
DFT formation energy	4.09	eV per formula unit
E	-5.165	eV per atom

CIF file:
```
data_AlCrP2Pb
_symmetry_space_group_name_H-M 'P 1'
_symmetry_Int_Tables_number 1
_cell_length_a 4.657
_cell_length_b 4.657
_cell_length_c 4.849
_cell_angle_alpha 90.00
_cell_angle_beta 90.00
_cell_angle_gamma 90.00
loop_
_symmetry_equiv_pos_as_xyz
'x,y,z'
loop_
_atom_site_label
_atom_site_type_symbol
_atom_site_fract_x
_atom_site_fract_y
_atom_site_fract_z
Al1 Al 0.000 0.000 0.000
Cr1 Cr 0.000 0.000 0.500
Pb1 Pb 0.500 0.500 0.500
P1 P 0.500 0.000 0.000
P2 P 0.000 0.500 0.000
```

***

(19)
VASP calculation (GGA-PBEsol) on an optimized crystal structure of YMg6Cu6.

Values from the calculation:
DFT formation energy	-1.03	eV per formula unit
E	-3.397	eV per atom

CIF file:
```
data_YMg6Cu6
_symmetry_space_group_name_H-M 'P 1'
_symmetry_Int_Tables_number 1
_cell_length_a 5.178
_cell_length_b 5.178
_cell_length_c 9.093
_cell_angle_alpha 90.00
_cell_angle_beta 90.00
_cell_angle_gamma 120.00
loop_
_symmetry_equiv_pos_as_xyz
'x,y,z'
loop_
_atom_site_label
_atom_site_type_symbol
_atom_site_fract_x
_atom_site_fract_y
_atom_site_fract_z
Mg1 Mg 0.000 0.000 0.340
Y1 Y 0.000 0.000 0.000
Mg2 Mg 0.000 0.000 0.660
Cu1 Cu 0.000 0.500 0.239
Mg3 Mg 0.667 0.333 0.500
Cu2 Cu 0.000 0.500 0.761
Mg4 Mg 0.333 0.667 0.500
Mg5 Mg 0.667 0.333 0.000
Cu3 Cu 0.500 0.000 0.239
Cu4 Cu 0.500 0.000 0.761
Cu5 Cu 0.500 0.500 0.761
Mg6 Mg 0.333 0.667 0.000
Cu6 Cu 0.500 0.500 0.239
```

***

(20)
VASP calculation (GGA-PBEsol) on an optimized crystal structure of CrAs3S.

Values from the calculation:
uncorrected formation energy	0.879	eV per atom
E	-5.110	eV per atom

CIF file:
```
data_CrAs3S
_symmetry_space_group_name_H-M 'P 1'
_symmetry_Int_Tables_number 1
_cell_length_a 4.673
_cell_length_b 4.673
_cell_length_c 4.673
_cell_angle_alpha 90.00
_cell_angle_beta 90.00
_cell_angle_gamma 90.00
loop_
_symmetry_equiv_pos_as_xyz
'x,y,z'
loop_
_atom_site_label
_atom_site_type_symbol
_atom_site_fract_x
_atom_site_fract_y
_atom_site_fract_z
As1 As 0.000 0.500 0.000
Cr1 Cr 0.500 0.500 0.500
S1 S 0.000 0.000 0.000
As2 As 0.000 0.000 0.500
As3 As 0.500 0.000 0.000
```